This record from Alexandria describes a relaxed structure of TcMo5. The functional is PBE-GGA.

Unit cell a=5.0932 b=5.0932 c=4.5769 alpha=90.00 beta=90.00 gamma=120.00
With the nearest neighbours (Å) after each atom.
Element x y z (fractional)
Tc 0.0000 0.0000 0.0000  6 Mo 2.94
Mo 0.0000 0.5000 0.5000  8 Mo 2.55-2.72
Mo 0.3333 0.6667 0.0000  9 Mo 2.72-2.94, 3 Tc 2.94
Mo 0.5000 0.0000 0.5000  8 Mo 2.55-2.72
Mo 0.5000 0.5000 0.5000  8 Mo 2.55-2.72
Mo 0.6667 0.3333 0.0000  9 Mo 2.72-2.94, 3 Tc 2.94

Formation energy from the elements = 0.6543 eV per atom
Offset from the most stable computed form = 0.637 eV/atom
DOS(E_F) = 0.967 states/eV per atom
Symmetry = P6/mmm, No. 191

=====

This record from Alexandria describes a relaxed structure of TcMo2. The functional is PBE-GGA.

Unit cell a=7.0034 b=6.8194 c=2.7280 alpha=82.44 beta=74.85 gamma=22.71
With the nearest neighbours (Å) after each atom.
Element x y z (fractional)
Tc 0.0000 0.0000 0.0000  4 Mo 2.70, 4 Tc 2.73
Mo 0.3344 0.3344 0.6656  2 Tc 2.70, 6 Mo 2.73
Mo 0.6656 0.6656 0.3344  2 Tc 2.70, 6 Mo 2.73

Formation energy from the elements = 0.0723 eV per atom
Offset from the most stable computed form = 0.022 eV/atom
DOS(E_F) = 1.060 states/eV per atom
Symmetry = Fmmm, No. 69

=====

This record from Alexandria describes a relaxed structure of TcMo8. The functional is PBE-GGA.

Unit cell a=6.8687 b=6.8687 c=6.8687 alpha=93.04 beta=93.04 gamma=153.36
With the nearest neighbours (Å) after each atom.
Element x y z (fractional)
Tc 0.0000 0.0000 0.0000  8 Mo 2.74
Mo 0.0000 0.3321 0.3321  8 Mo 2.73-2.75
Mo 0.0000 0.6679 0.6679  8 Mo 2.73-2.75
Mo 0.3321 0.0000 0.3321  8 Mo 2.73-2.75
Mo 0.3331 0.3331 0.6662  6 Mo 2.73, 2 Tc 2.74
Mo 0.3331 0.6669 0.0000  6 Mo 2.73, 2 Tc 2.74
Mo 0.6669 0.3331 0.0000  6 Mo 2.73, 2 Tc 2.74
Mo 0.6669 0.6669 0.3338  6 Mo 2.73, 2 Tc 2.74
Mo 0.6679 0.0000 0.6679  8 Mo 2.73-2.75

Formation energy from the elements = 0.0041 eV per atom
Offset from the most stable computed form = 0.000 eV/atom
DOS(E_F) = 0.691 states/eV per atom
Symmetry = I4/mmm, No. 139

=====

This record from Alexandria describes a relaxed structure of Tc8Mo. The functional is PBE-GGA.

Unit cell a=6.1755 b=6.1755 c=6.1755 alpha=95.62 beta=95.62 gamma=143.54
With the nearest neighbours (Å) after each atom.
Element x y z (fractional)
Tc 0.0000 0.3371 0.3371  11 Tc 2.70-2.76, 1 Mo 2.80
Tc 0.0000 0.6629 0.6629  11 Tc 2.70-2.76, 1 Mo 2.80
Tc 0.3298 0.3298 0.6595  10 Tc 2.69-2.82, 2 Mo 2.78
Tc 0.3298 0.6702 0.0000  10 Tc 2.69-2.82, 2 Mo 2.78
Tc 0.3371 0.0000 0.3371  11 Tc 2.70-2.76, 1 Mo 2.80
Tc 0.6629 0.0000 0.6629  11 Tc 2.70-2.76, 1 Mo 2.80
Tc 0.6702 0.3298 0.0000  10 Tc 2.69-2.82, 2 Mo 2.78
Tc 0.6702 0.6702 0.3405  10 Tc 2.69-2.82, 2 Mo 2.78
Mo 0.0000 0.0000 0.0000  12 Tc 2.78-2.80

Formation energy from the elements = 0.0822 eV per atom
DOS(E_F) = 0.861 states/eV per atom
Symmetry = I4/mmm, No. 139

=====

This record from Alexandria describes a relaxed structure of TcMo2. The functional is PBE-GGA.

Unit cell a=5.2062 b=5.2062 c=5.4186 alpha=121.32 beta=121.32 gamma=50.49
With the nearest neighbours (Å) after each atom.
Element x y z (fractional)
Tc 0.1731 0.1731 0.0862  7 Mo 2.70-2.75, 1 Tc 2.83
Tc 0.8269 0.8269 0.9138  7 Mo 2.70-2.75, 1 Tc 2.83
Mo 0.1609 0.1609 0.5759  4 Mo 2.65-2.72, 4 Tc 2.70-2.73
Mo 0.4954 0.4954 0.7512  5 Mo 2.65-2.77, 3 Tc 2.71-2.75
Mo 0.5046 0.5046 0.2488  5 Mo 2.65-2.77, 3 Tc 2.71-2.75
Mo 0.8391 0.8391 0.4241  4 Mo 2.65-2.72, 4 Tc 2.70-2.73

Formation energy from the elements = 0.0515 eV per atom
Offset from the most stable computed form = 0.001 eV/atom
DOS(E_F) = 0.916 states/eV per atom
Symmetry = C2/m, No. 12

=====

This record from Alexandria describes a relaxed structure of TcMo5. The functional is PBE-GGA.

Unit cell a=4.7922 b=4.7922 c=4.7897 alpha=90.00 beta=90.00 gamma=120.00
With the nearest neighbours (Å) after each atom.
Element x y z (fractional)
Tc 0.0000 0.0000 0.0000  12 Mo 2.77-2.87
Mo 0.0000 0.6696 0.5000  10 Mo 2.74-2.88, 2 Tc 2.87
Mo 0.3304 0.3304 0.5000  10 Mo 2.74-2.88, 2 Tc 2.87
Mo 0.3333 0.6667 0.0000  3 Tc 2.77, 9 Mo 2.77-2.88
Mo 0.6667 0.3333 0.0000  3 Tc 2.77, 9 Mo 2.77-2.88
Mo 0.6696 0.0000 0.5000  10 Mo 2.74-2.88, 2 Tc 2.87

Formation energy from the elements = 0.3541 eV per atom
Offset from the most stable computed form = 0.337 eV/atom
DOS(E_F) = 1.362 states/eV per atom
Symmetry = P-62m, No. 189

=====

This record from Alexandria describes a relaxed structure of TcMo2. The functional is PBE-GGA.

Unit cell a=4.4433 b=4.4406 c=5.1971 alpha=90.00 beta=115.03 gamma=90.00
With the nearest neighbours (Å) after each atom.
Element x y z (fractional)
Tc 0.0899 0.2500 0.1813  6 Mo 2.66-2.76, 2 Tc 2.80
Tc 0.9101 0.7500 0.8187  6 Mo 2.66-2.76, 2 Tc 2.80
Mo 0.2474 0.7500 0.4940  4 Tc 2.66-2.70, 4 Mo 2.70-2.74
Mo 0.4180 0.2500 0.8363  6 Mo 2.70-2.74, 2 Tc 2.75-2.76
Mo 0.5820 0.7500 0.1637  6 Mo 2.70-2.74, 2 Tc 2.75-2.76
Mo 0.7526 0.2500 0.5060  4 Tc 2.66-2.70, 4 Mo 2.70-2.74

Formation energy from the elements = 0.0655 eV per atom
Offset from the most stable computed form = 0.015 eV/atom
DOS(E_F) = 0.947 states/eV per atom
Symmetry = P2_1/m, No. 11

=====

This record from Alexandria describes a relaxed structure of Tc3Mo. The functional is PBE-GGA.

Unit cell a=5.4915 b=5.4915 c=4.4071 alpha=90.00 beta=90.00 gamma=115.57
With the nearest neighbours (Å) after each atom.
Element x y z (fractional)
Tc 0.1354 0.3361 0.7500  7 Tc 2.67-2.89, 4 Mo 2.68-2.82
Tc 0.1632 0.8368 0.7500  8 Tc 2.67-2.81, 4 Mo 2.89-2.94
Tc 0.3361 0.1354 0.2500  7 Tc 2.67-2.89, 4 Mo 2.68-2.82
Tc 0.6639 0.8646 0.7500  7 Tc 2.67-2.89, 4 Mo 2.68-2.82
Tc 0.8368 0.1632 0.2500  8 Tc 2.67-2.81, 4 Mo 2.89-2.94
Tc 0.8646 0.6639 0.2500  7 Tc 2.67-2.89, 4 Mo 2.68-2.82
Mo 0.3651 0.6349 0.2500  12 Tc 2.68-2.94
Mo 0.6349 0.3651 0.7500  12 Tc 2.68-2.94

Formation energy from the elements = 0.1117 eV per atom
Offset from the most stable computed form = 0.041 eV/atom
DOS(E_F) = 1.246 states/eV per atom
Symmetry = Cmcm, No. 63

=====

This record from Alexandria describes a relaxed structure of Tc3Mo. The functional is PBE-GGA.

Unit cell a=4.7917 b=4.7917 c=4.7917 alpha=131.83 beta=131.83 gamma=70.50
With the nearest neighbours (Å) after each atom.
Element x y z (fractional)
Tc 0.0000 0.0000 0.0000  4 Mo 2.77, 8 Tc 2.77
Tc 0.2500 0.7500 0.5000  8 Tc 2.77, 4 Mo 2.77
Tc 0.7500 0.2500 0.5000  8 Tc 2.77, 4 Mo 2.77
Mo 0.5000 0.5000 0.0000  12 Tc 2.77

Formation energy from the elements = 0.1219 eV per atom
Offset from the most stable computed form = 0.051 eV/atom
DOS(E_F) = 1.191 states/eV per atom
Symmetry = I4/mmm, No. 139

=====

This record from Alexandria describes a relaxed structure of Tc5Mo4. The functional is PBE-GGA.

Unit cell a=6.8071 b=6.8071 c=6.8071 alpha=93.01 beta=93.01 gamma=153.49
With the nearest neighbours (Å) after each atom.
Element x y z (fractional)
Tc 0.0000 0.0000 0.0000  8 Tc 2.69
Tc 0.3346 0.3346 0.6692  4 Tc 2.69-2.73, 4 Mo 2.70
Tc 0.3346 0.6654 0.0000  4 Tc 2.69-2.73, 4 Mo 2.70
Tc 0.6654 0.3346 0.0000  4 Tc 2.69-2.73, 4 Mo 2.70
Tc 0.6654 0.6654 0.3308  4 Tc 2.69-2.73, 4 Mo 2.70
Mo 0.0000 0.3325 0.3325  4 Tc 2.70, 4 Mo 2.71
Mo 0.0000 0.6675 0.6675  4 Tc 2.70, 4 Mo 2.71
Mo 0.3325 0.0000 0.3325  4 Tc 2.70, 4 Mo 2.71
Mo 0.6675 0.0000 0.6675  4 Tc 2.70, 4 Mo 2.71

Formation energy from the elements = 0.1252 eV per atom
Offset from the most stable computed form = 0.000 eV/atom
DOS(E_F) = 1.200 states/eV per atom
Symmetry = I4/mmm, No. 139

=====

This record from Alexandria describes a relaxed structure of TcMo5. The functional is PBE-GGA.

Unit cell a=5.1683 b=5.1683 c=5.1683 alpha=60.00 beta=60.00 gamma=60.00
With the nearest neighbours (Å) after each atom.
Element x y z (fractional)
Tc 0.0000 0.0000 0.0000  16 Mo 3.03-3.16
Mo 0.3754 0.3754 0.3754  6 Mo 2.58-2.59
Mo 0.3754 0.3754 0.8738  6 Mo 2.58-2.59
Mo 0.3754 0.8738 0.3754  6 Mo 2.58-2.59
Mo 0.7500 0.7500 0.7500  12 Mo 3.03, 4 Tc 3.16
Mo 0.8738 0.3754 0.3754  6 Mo 2.58-2.59

Formation energy from the elements = 0.3658 eV per atom
Offset from the most stable computed form = 0.348 eV/atom
DOS(E_F) = 1.368 states/eV per atom
Symmetry = F-43m, No. 216

=====

This record from Alexandria describes a relaxed structure of Tc3Mo. The functional is PBE-GGA.

Unit cell a=4.9523 b=4.9523 c=4.9523 alpha=90.00 beta=90.00 gamma=90.00
With the nearest neighbours (Å) after each atom.
Element x y z (fractional)
Tc 0.0000 0.2500 0.5000  2 Tc 2.48, 4 Mo 2.77
Tc 0.0000 0.7500 0.5000  2 Tc 2.48, 4 Mo 2.77
Tc 0.2500 0.5000 0.0000  2 Tc 2.48, 4 Mo 2.77
Tc 0.5000 0.0000 0.2500  2 Tc 2.48, 4 Mo 2.77
Tc 0.5000 0.0000 0.7500  2 Tc 2.48, 4 Mo 2.77
Tc 0.7500 0.5000 0.0000  2 Tc 2.48, 4 Mo 2.77
Mo 0.0000 0.0000 0.0000  12 Tc 2.77
Mo 0.5000 0.5000 0.5000  12 Tc 2.77

Formation energy from the elements = 0.1664 eV per atom
Offset from the most stable computed form = 0.096 eV/atom
DOS(E_F) = 1.339 states/eV per atom
Symmetry = Pm-3n, No. 223

=====

This record from Alexandria describes a relaxed structure of TcMo2. The functional is PBE-GGA.

Unit cell a=5.1872 b=5.1872 c=6.3035 alpha=107.81 beta=107.81 gamma=35.31
With the nearest neighbours (Å) after each atom.
Element x y z (fractional)
Tc 0.1620 0.1620 0.0861  6 Mo 2.70-2.72, 2 Tc 2.81
Tc 0.8380 0.8380 0.9139  6 Mo 2.70-2.72, 2 Tc 2.81
Mo 0.1676 0.1676 0.5834  6 Mo 2.69-2.74, 2 Tc 2.72
Mo 0.4949 0.4949 0.2505  4 Mo 2.69-2.74, 4 Tc 2.70-2.72
Mo 0.5051 0.5051 0.7495  4 Mo 2.69-2.74, 4 Tc 2.70-2.72
Mo 0.8324 0.8324 0.4166  6 Mo 2.69-2.74, 2 Tc 2.72

Formation energy from the elements = 0.0543 eV per atom
Offset from the most stable computed form = 0.004 eV/atom
DOS(E_F) = 0.798 states/eV per atom
Symmetry = C2/m, No. 12

=====

This record from Alexandria describes a relaxed structure of Tc3Mo. The functional is PBE-GGA.

Unit cell a=5.1514 b=5.1514 c=5.1514 alpha=117.03 beta=117.03 gamma=117.03
With the nearest neighbours (Å) after each atom.
Element x y z (fractional)
Tc 0.0000 0.5000 0.5000  6 Tc 2.69, 2 Mo 2.69
Tc 0.5000 0.0000 0.5000  2 Mo 2.69, 6 Tc 2.69
Tc 0.5000 0.5000 0.0000  6 Tc 2.69, 2 Mo 2.69
Mo 0.0000 0.0000 0.0000  6 Tc 2.69, 2 Mo 2.69

Formation energy from the elements = 0.1835 eV per atom
Offset from the most stable computed form = 0.113 eV/atom
DOS(E_F) = 1.425 states/eV per atom
Symmetry = R-3m, No. 166

=====

This record from Alexandria describes a relaxed structure of TcMo2. The functional is PBE-GGA.

Unit cell a=4.6302 b=7.6686 c=7.6686 alpha=20.11 beta=90.00 gamma=90.00
With the nearest neighbours (Å) after each atom.
Element x y z (fractional)
Tc 0.0000 0.0000 0.0000  4 Tc 2.68-2.75, 8 Mo 2.81-2.92
Tc 0.0000 0.3411 0.3411  4 Tc 2.68-2.75, 8 Mo 2.77-2.88
Mo 0.0000 0.6719 0.6719  8 Mo 2.68-2.85, 4 Tc 2.88-2.92
Mo 0.5000 0.1067 0.1067  10 Mo 2.68-2.91, 2 Tc 2.82
Mo 0.5000 0.4422 0.4422  6 Mo 2.68-2.82, 6 Tc 2.77-2.81
Mo 0.5000 0.7777 0.7777  8 Mo 2.68-2.91, 4 Tc 2.84

Formation energy from the elements = 0.2826 eV per atom
Offset from the most stable computed form = 0.232 eV/atom
DOS(E_F) = 1.388 states/eV per atom
Symmetry = Amm2, No. 38

=====

This record from Alexandria describes a relaxed structure of TcMo8. The functional is PBE-GGA.

Unit cell a=6.0684 b=6.0684 c=6.0684 alpha=98.08 beta=98.08 gamma=135.95
With the nearest neighbours (Å) after each atom.
Element x y z (fractional)
Tc 0.0000 0.0000 0.0000  12 Mo 2.63-2.94
Mo 0.0000 0.3308 0.3308  1 Tc 2.63, 7 Mo 2.66-2.94
Mo 0.0000 0.6692 0.6692  1 Tc 2.63, 7 Mo 2.66-2.94
Mo 0.3308 0.0000 0.3308  1 Tc 2.63, 7 Mo 2.66-2.94
Mo 0.3349 0.3349 0.6699  8 Mo 2.63-2.94, 2 Tc 2.94
Mo 0.3349 0.6651 0.0000  8 Mo 2.63-2.94, 2 Tc 2.94
Mo 0.6651 0.3349 0.0000  8 Mo 2.63-2.94, 2 Tc 2.94
Mo 0.6651 0.6651 0.3301  8 Mo 2.63-2.94, 2 Tc 2.94
Mo 0.6692 0.0000 0.6692  1 Tc 2.63, 7 Mo 2.66-2.94

Formation energy from the elements = 0.3110 eV per atom
Offset from the most stable computed form = 0.307 eV/atom
DOS(E_F) = 0.984 states/eV per atom
Symmetry = I4/mmm, No. 139

=====

This record from Alexandria describes a relaxed structure of TcMo2. The functional is PBE-GGA.

Unit cell a=6.8261 b=6.8261 c=4.4530 alpha=90.00 beta=90.00 gamma=153.41
With the nearest neighbours (Å) after each atom.
Element x y z (fractional)
Tc 0.0808 0.9192 0.7500  8 Mo 2.70-2.77
Tc 0.9192 0.0808 0.2500  8 Mo 2.70-2.77
Mo 0.2470 0.7530 0.2500  6 Mo 2.67-2.73, 2 Tc 2.77
Mo 0.4152 0.5848 0.7500  2 Mo 2.67, 6 Tc 2.70-2.72
Mo 0.5848 0.4152 0.2500  2 Mo 2.67, 6 Tc 2.70-2.72
Mo 0.7530 0.2470 0.7500  6 Mo 2.67-2.73, 2 Tc 2.77

Formation energy from the elements = 0.0534 eV per atom
Offset from the most stable computed form = 0.003 eV/atom
DOS(E_F) = 0.924 states/eV per atom
Symmetry = Cmcm, No. 63

=====

This record from Alexandria describes a relaxed structure of Tc3Mo. The functional is PBE-GGA.

Unit cell a=4.3957 b=4.3957 c=4.3957 alpha=60.00 beta=60.00 gamma=60.00
With the nearest neighbours (Å) after each atom.
Element x y z (fractional)
Tc 0.0000 0.0000 0.0000  8 Tc 2.69
Tc 0.2500 0.2500 0.2500  4 Mo 2.69, 4 Tc 2.69
Tc 0.7500 0.7500 0.7500  4 Mo 2.69, 4 Tc 2.69
Mo 0.5000 0.5000 0.5000  8 Tc 2.69

Formation energy from the elements = 0.1883 eV per atom
Offset from the most stable computed form = 0.118 eV/atom
DOS(E_F) = 1.180 states/eV per atom
Symmetry = Fm-3m, No. 225

=====

This record from Alexandria describes a relaxed structure of Tc3Mo. The functional is PBE-GGA.

Unit cell a=4.7821 b=4.7821 c=2.7682 alpha=90.00 beta=90.00 gamma=109.27
With the nearest neighbours (Å) after each atom.
Element x y z (fractional)
Tc 0.0000 0.0000 0.0000  10 Tc 2.76-2.77, 2 Mo 2.77
Tc 0.0000 0.5000 0.5000  4 Mo 2.76, 8 Tc 2.76-2.77
Tc 0.5000 0.0000 0.5000  4 Mo 2.76, 8 Tc 2.76-2.77
Mo 0.5000 0.5000 0.0000  10 Tc 2.76-2.77, 2 Mo 2.77

Formation energy from the elements = 0.1193 eV per atom
Offset from the most stable computed form = 0.049 eV/atom
DOS(E_F) = 0.964 states/eV per atom
Symmetry = Cmmm, No. 65

=====

This record from Alexandria describes a relaxed structure of Tc3Mo. The functional is PBE-GGA.

Unit cell a=2.6950 b=2.6950 c=8.7588 alpha=90.00 beta=90.00 gamma=109.34
With the nearest neighbours (Å) after each atom.
Element x y z (fractional)
Tc 0.0000 0.0000 0.0000  8 Tc 2.67-2.70
Tc 0.5000 0.5000 0.2478  6 Tc 2.67-2.70, 2 Mo 2.70
Tc 0.5000 0.5000 0.7522  6 Tc 2.67-2.70, 2 Mo 2.70
Mo 0.0000 0.0000 0.5000  4 Mo 2.70, 4 Tc 2.70

Formation energy from the elements = 0.1889 eV per atom
Offset from the most stable computed form = 0.118 eV/atom
DOS(E_F) = 1.260 states/eV per atom
Symmetry = Cmmm, No. 65